[1]
A relaxed LiTc2Te crystal. Source: Alexandria via LeMat-Bulk, functional PBE.

abc: 4.8359 4.8359 4.5344
angles: 80.70 80.70 38.42
Sites, in units of the cell vectors:
Li1 0.2500 0.2500 0.2500
Tc1 0.0032 0.0032 0.0319
Tc2 0.4968 0.4968 0.4681
Te1 0.7500 0.7500 0.7500

Summary:
* uncorrected energy: -0.451 Ry/atom
* space group: C2/m, No. 12

[2]
A relaxed LiTcTe2 crystal. Source: Alexandria via LeMat-Bulk, functional PBE.

abc: 6.2354 6.2354 7.5413
angles: 65.58 65.58 90.00
Sites, in units of the cell vectors:
Te1 0.6575 0.1250 0.2500
Te2 0.0925 0.6250 0.2500
Te3 0.3750 0.3425 0.7500
Te4 0.8750 0.9075 0.7500
Tc1 0.0000 0.0000 0.0000
Tc2 0.7500 0.2500 0.5000
Li1 0.5000 0.5000 0.0000
Li2 0.2500 0.7500 0.5000

Summary:
* uncorrected energy: -0.346 Ry/atom
* polymorph energy (0 for the lowest one): 140 meV/atom
* space group: I-42d, No. 122

[3]
A relaxed LiTcTe crystal. Source: Alexandria via LeMat-Bulk, functional PBE.

abc: 4.8709 4.8709 4.8709
angles: 139.62 139.62 58.44
Sites, in units of the cell vectors:
Li1 0.9983 0.9983 0.0000
Tc1 0.3291 0.3291 0.0000
Te1 0.6726 0.6726 0.0000

Summary:
* uncorrected energy: -0.386 Ry/atom
* polymorph energy (0 for the lowest one): 0 meV/atom
* space group: I4mm, No. 107

Among the records above, which one has the highest uncorrected energy? LiTcTe2

Look up the uncorrected energy of the second one. -0.346 Ry/atom